A plane-wave DFT calculation with PBE-GGA was carried out for a geometry-optimized Rb4C5 structure.

Calculated values
- Energy relative to the lowest polymorph listed for this composition: 0.000 eV/f.u.
- Formation energy: 1.1463 eV/atom
- Calculated volume: 402.1 Å³ per cell
- Uncorrected energy: -79.345 eV/cell

CIF file:
```
data_Rb4C5
_chemical_formula_sum 'Rb8 C10'
_cell_length_a 12.032
_cell_length_b 12.032
_cell_length_c 2.778
_cell_angle_alpha 90.00
_cell_angle_beta 90.00
_cell_angle_gamma 90.00
_space_group_name_H-M_alt 'I 4/m m m'
_space_group_IT_number 139
_space_group_name_Hall '-I 4 2'
loop_
_atom_site_label
_atom_site_fract_x
_atom_site_fract_y
_atom_site_fract_z
Rb1 0.000 0.237 0.000
C1 0.000 0.000 0.000
C2 0.243 0.243 0.500
```

***

A plane-wave DFT calculation with PBE-GGA was carried out for a geometry-optimized LiPd4Pb3 structure.

Calculated values
- Energy relative to the lowest polymorph listed for this composition: 0.831 eV/f.u.
- Formation energy: -0.1815 eV/atom
- Calculated volume: 318.1 Å³ per cell
- Uncorrected energy: -70.524 eV/cell

CIF file:
```
data_LiPd4Pb3
_chemical_formula_sum 'Li2 Pd8 Pb6'
_cell_length_a 5.806
_cell_length_b 10.215
_cell_length_c 5.364
_cell_angle_alpha 90.00
_cell_angle_beta 90.00
_cell_angle_gamma 90.00
_space_group_name_H-M_alt 'I m m 2'
_space_group_IT_number 44
_space_group_name_Hall 'I 2 -2'
loop_
_atom_site_label
_atom_site_fract_x
_atom_site_fract_y
_atom_site_fract_z
Li1 0.000 0.000 0.000
Pd1 0.000 0.257 0.887
Pd2 0.240 0.500 0.113
Pb1 0.000 0.201 0.386
Pb2 0.000 0.500 0.609
```

***

A plane-wave DFT calculation with PBE-GGA was carried out for a geometry-optimized LaHo5Zn6 structure.

Calculated values
- Formation energy: -0.3280 eV/atom
- Calculated volume: 554.1 Å³ per cell
- Uncorrected energy: -78.791 eV/cell

CIF file:
```
data_LaHo5Zn6
_chemical_formula_sum 'La2 Ho10 Zn12'
_cell_length_a 5.058
_cell_length_b 15.226
_cell_length_c 7.195
_cell_angle_alpha 90.00
_cell_angle_beta 90.00
_cell_angle_gamma 90.00
_space_group_name_H-M_alt 'C m m m'
_space_group_IT_number 65
_space_group_name_Hall '-C 2 2'
loop_
_atom_site_label
_atom_site_fract_x
_atom_site_fract_y
_atom_site_fract_z
La1 0.000 0.000 0.000
Ho1 0.000 0.000 0.500
Ho2 0.000 0.331 0.000
Ho3 0.000 0.336 0.500
Zn1 0.000 0.172 0.260
Zn2 0.000 0.500 0.260
```